First-principles (PBE) data for a relaxed structure of U2SnHg, as listed in Alexandria via LeMat-Bulk. Values from VASP.

Geometry as Quantum ESPRESSO input:
```
&SYSTEM
  ibrav = 0, nat = 4, ntyp = 3
/
ATOMIC_SPECIES
U 238.03 U.upf
Hg 200.59 Hg.upf
Sn 118.71 Sn.upf
CELL_PARAMETERS angstrom
-4.935 -1.384 0.882
1.157 -1.858 3.559
-0.632 3.573 2.071
ATOMIC_POSITIONS crystal
U 0.000 0.500 0.000
U 0.000 0.000 0.500
Hg 0.500 0.000 0.000
Sn 0.500 0.500 0.500
```

Summary:
V: 90.8 Å³/cell
Total moment: 4.40 μB per formula unit
Energy of formation from the pure elements: 138 meV/atom


First-principles (PBE) data for a relaxed structure of USn2Hg, as listed in Alexandria via LeMat-Bulk. Values from VASP.

Geometry as Quantum ESPRESSO input:
```
&SYSTEM
  ibrav = 0, nat = 4, ntyp = 3
/
ATOMIC_SPECIES
U 238.03 U.upf
Hg 200.59 Hg.upf
Sn 118.71 Sn.upf
CELL_PARAMETERS angstrom
3.854 0.000 0.000
0.000 3.854 0.000
0.000 0.000 6.881
ATOMIC_POSITIONS crystal
U 0.500 0.500 0.000
Hg 0.500 0.500 0.500
Sn 0.000 0.000 0.269
Sn 0.000 0.000 0.731
```

Summary:
V: 102.2 Å³/cell
Total moment: 3.20 μB per formula unit
Energy of formation from the pure elements: 140 meV/atom


First-principles (PBE) data for a relaxed structure of USnHg2, as listed in Alexandria via LeMat-Bulk. Values from VASP.

Geometry as Quantum ESPRESSO input:
```
&SYSTEM
  ibrav = 0, nat = 4, ntyp = 3
/
ATOMIC_SPECIES
Sn 118.71 Sn.upf
U 238.03 U.upf
Hg 200.59 Hg.upf
CELL_PARAMETERS angstrom
-3.447 2.983 1.653
-2.202 -3.531 1.780
2.299 0.515 3.865
ATOMIC_POSITIONS crystal
Sn 0.500 0.500 0.500
U 0.500 0.000 0.000
Hg 0.000 0.000 0.500
Hg 0.000 0.500 0.000
```

Summary:
V: 99.3 Å³/cell
Total moment: 2.85 μB per formula unit
Energy of formation from the pure elements: 45 meV/atom


First-principles (PBE) data for a relaxed structure of USn2Hg, as listed in Alexandria via LeMat-Bulk. Values from VASP.

Geometry as Quantum ESPRESSO input:
```
&SYSTEM
  ibrav = 0, nat = 4, ntyp = 3
/
ATOMIC_SPECIES
Hg 200.59 Hg.upf
U 238.03 U.upf
Sn 118.71 Sn.upf
CELL_PARAMETERS angstrom
3.213 0.000 0.000
1.607 2.783 0.000
1.607 0.928 11.251
ATOMIC_POSITIONS crystal
Hg 0.000 0.000 0.000
U 0.500 0.500 0.500
Sn 0.914 0.914 0.259
Sn 0.086 0.086 0.741
```

Summary:
V: 100.6 Å³/cell
Total moment: 2.07 μB per formula unit
Energy of formation from the pure elements: 85 meV/atom


First-principles (PBE) data for a relaxed structure of V2SnHg, as listed in Alexandria via LeMat-Bulk. Values from VASP.

Geometry as Quantum ESPRESSO input:
```
&SYSTEM
  ibrav = 0, nat = 8, ntyp = 3
/
ATOMIC_SPECIES
V 50.94 V.upf
Sn 118.71 Sn.upf
Hg 200.59 Hg.upf
CELL_PARAMETERS angstrom
7.366 0.000 0.000
0.000 7.366 0.000
3.683 3.683 2.828
ATOMIC_POSITIONS crystal
V 0.128 0.625 0.250
V 0.375 0.378 0.750
V 0.622 0.125 0.250
V 0.875 0.872 0.750
Sn 0.500 0.500 0.000
Sn 0.250 0.750 0.500
Hg 0.750 0.250 0.500
Hg 0.000 0.000 0.000
```

Summary:
V: 153.4 Å³/cell
Total moment: 0.00 μB per formula unit
Energy of formation from the pure elements: 648 meV/atom


First-principles (PBE) data for a relaxed structure of VSn2Hg, as listed in Alexandria via LeMat-Bulk. Values from VASP.

Geometry as Quantum ESPRESSO input:
```
&SYSTEM
  ibrav = 0, nat = 8, ntyp = 3
/
ATOMIC_SPECIES
Sn 118.71 Sn.upf
Hg 200.59 Hg.upf
V 50.94 V.upf
CELL_PARAMETERS angstrom
8.002 0.000 0.000
0.000 8.002 0.000
4.001 4.001 3.029
ATOMIC_POSITIONS crystal
Sn 0.375 0.391 0.750
Sn 0.875 0.859 0.750
Sn 0.141 0.625 0.250
Sn 0.609 0.125 0.250
Hg 0.000 0.000 0.000
Hg 0.750 0.250 0.500
V 0.500 0.500 0.000
V 0.250 0.750 0.500
```

Summary:
V: 194.0 Å³/cell
Total moment: 2.92 μB per formula unit
Energy of formation from the pure elements: 458 meV/atom